Computed, not measured: a relaxed structure of RbPmTeO6 at the PBE level of DFT.

V   20.36 Å³ per atom
DOS at the Fermi energy   4.5 states/eV/f.u.
Symmetry   P312, No. 149
Uncorrected formation energy   -13.5 eV per formula unit

abc: 5.9694 5.9694 5.9388
angles: 90.00 90.00 120.00
Atoms (fractional coordinates):
Rb 0.0000 0.0000 0.0000
Pm 0.3333 0.6667 0.5000
Te 0.6667 0.3333 0.5000
O 0.4149 0.0502 0.6840
O 0.4149 0.3646 0.3160
O 0.6354 0.0502 0.3160
O 0.6354 0.5851 0.6840
O 0.9498 0.3646 0.6840
O 0.9498 0.5851 0.3160

Computed, not measured: a relaxed structure of Pr2HgAs3Pd4 at the PBE level of DFT.

V   20.36 Å³ per atom
ΔE_f   -0.772 eV per atom
DOS at the Fermi energy   4.9 states/eV/f.u.
Symmetry   P-4m2, No. 115

abc: 4.3119 4.3119 10.9497
angles: 90.00 90.00 90.00
Atoms (fractional coordinates):
Pr 0.0000 0.5000 0.2326
Pr 0.5000 0.0000 0.7674
Hg 0.0000 0.0000 0.5000
As 0.0000 0.5000 0.8703
As 0.5000 0.0000 0.1297
As 0.5000 0.5000 0.5000
Pd 0.0000 0.0000 0.0000
Pd 0.0000 0.5000 0.6497
Pd 0.5000 0.0000 0.3503
Pd 0.5000 0.5000 0.0000

Computed, not measured: a relaxed structure of Ti2AgIr at the PBE level of DFT.

V   16.07 Å³ per atom
ΔE_f   -0.332 eV per atom
DOS at the Fermi energy   4.0 states/eV/f.u.
Symmetry   P4/mmm, No. 123

abc: 4.6288 4.6288 3.0006
angles: 90.00 90.00 90.00
Atoms (fractional coordinates):
Ti 0.0000 0.5000 0.0000
Ti 0.5000 0.0000 0.0000
Ag 0.0000 0.0000 0.5000
Ir 0.5000 0.5000 0.5000

Computed, not measured: a relaxed structure of RbTlGe4 at the PBE level of DFT.

V   24.41 Å³ per atom
ΔE_f   0.203 eV per atom
DOS at the Fermi energy   5.7 states/eV/f.u.
Symmetry   F-43m, No. 216

abc: 5.9165 5.9165 5.9165
angles: 60.00 60.00 60.00
Atoms (fractional coordinates):
Rb 0.0000 0.0000 0.0000
Tl 0.2500 0.2500 0.2500
Ge 0.1191 0.6270 0.6270
Ge 0.6270 0.1191 0.6270
Ge 0.6270 0.6270 0.1191
Ge 0.6270 0.6270 0.6270